A plane-wave DFT calculation with PBE was carried out for a geometry-optimized K2GaH structure.

POSCAR file:
```
K2GaH
1.0
0.0000 4.0092 4.0092
4.0092 0.0000 4.0092
4.0092 4.0092 0.0000
K Ga H
2 1 1
Cartesian
2.0046 2.0046 2.0046
6.0139 6.0139 6.0139
0.0000 0.0000 0.0000
4.0092 4.0092 4.0092
```

Summary:
For the excess energy over the best structure of this formula in the dataset, the calculation gives 258 meV per atom.


A plane-wave DFT calculation with PBE was carried out for a geometry-optimized KGaH3 structure.

POSCAR file:
```
KGaH3
1.0
4.7012 0.0000 0.0000
0.0000 4.7012 0.0000
0.0000 0.0000 4.7012
K Ga H
1 1 3
Cartesian
0.0000 0.0000 0.0000
2.3506 2.3506 2.3506
0.0000 0.0000 2.3506
0.0000 2.3506 0.0000
2.3506 0.0000 0.0000
```

Summary:
For the excess energy over the best structure of this formula in the dataset, the calculation gives 953 meV per atom.


A plane-wave DFT calculation with PBE was carried out for a geometry-optimized KGa3H structure.

POSCAR file:
```
KGa3H
1.0
4.6742 0.0000 0.0000
0.0000 4.6742 0.0000
0.0000 0.0000 4.6742
K Ga H
1 3 1
Cartesian
0.0000 0.0000 0.0000
0.0000 2.3371 2.3371
2.3371 0.0000 2.3371
2.3371 2.3371 0.0000
2.3371 2.3371 2.3371
```

Summary:
The final energy comes out at -2.38 eV per atom.


A plane-wave DFT calculation with PBE was carried out for a geometry-optimized K2GaH6 structure.

POSCAR file:
```
K2GaH6
1.0
0.0000 3.9618 3.9618
3.9618 0.0000 3.9618
3.9618 3.9618 0.0000
K Ga H
2 1 6
Cartesian
1.9809 1.9809 1.9809
5.9427 5.9427 5.9427
0.0000 0.0000 0.0000
3.9618 3.9618 1.7366
3.9618 1.7366 3.9618
6.1870 3.9618 3.9618
1.7366 3.9618 3.9618
3.9618 6.1870 3.9618
3.9618 3.9618 6.1870
```

Summary:
For the excess energy over the best structure of this formula in the dataset, the calculation gives 0 meV per atom.


A plane-wave DFT calculation with PBE was carried out for a geometry-optimized K2GaH6 structure.

POSCAR file:
```
K2GaH6
1.0
5.2170 0.0000 0.0000
0.0000 5.2170 0.0000
0.0000 0.0000 10.7180
K Ga H
4 2 12
Cartesian
0.0000 0.0000 1.8013
0.0000 0.0000 8.9167
2.6085 2.6085 3.5577
2.6085 2.6085 7.1603
0.0000 0.0000 5.3590
2.6085 2.6085 0.0000
0.8618 0.8618 4.1080
0.8618 0.8618 6.6100
1.1997 4.0173 5.3590
1.4088 1.4088 0.0000
1.7467 3.4703 1.2510
1.7467 3.4703 9.4670
3.4703 1.7467 1.2510
3.4703 1.7467 9.4670
3.8083 3.8083 0.0000
4.0173 1.1997 5.3590
4.3553 4.3553 4.1080
4.3553 4.3553 6.6100
```

Summary:
For the excess energy over the best structure of this formula in the dataset, the calculation gives 79 meV per atom.


A plane-wave DFT calculation with PBE was carried out for a geometry-optimized K3GaH structure.

POSCAR file:
```
K3GaH
1.0
5.5197 0.0000 0.0000
0.0000 5.5197 0.0000
0.0000 0.0000 5.5197
K Ga H
3 1 1
Cartesian
0.0000 0.0000 2.7599
0.0000 2.7599 0.0000
2.7599 0.0000 0.0000
2.7599 2.7599 2.7599
0.0000 0.0000 0.0000
```

Summary:
For the excess energy over the best structure of this formula in the dataset, the calculation gives 0 meV per atom.


A plane-wave DFT calculation with PBE was carried out for a geometry-optimized KGaH3 structure.

POSCAR file:
```
KGaH3
1.0
3.5820 0.0000 0.0000
0.0000 6.2853 0.0000
-1.7580 0.0000 6.8370
K Ga H
2 2 6
Cartesian
0.0060 1.5713 1.9799
1.8181 4.7140 4.8571
0.0282 1.5713 5.6351
1.7959 4.7140 1.2018
0.0048 4.7140 0.6633
0.0259 0.3383 4.5324
0.0259 2.8044 4.5324
1.7982 3.4810 2.3046
1.7982 5.9470 2.3046
1.8193 1.5713 6.1736
```

Summary:
For the excess energy over the best structure of this formula in the dataset, the calculation gives 0 meV per atom.


A plane-wave DFT calculation with PBE was carried out for a geometry-optimized K2GaH structure.

POSCAR file:
```
K2GaH
1.0
1.8437 1.0645 10.0331
-1.8437 1.0645 10.0331
0.0000 -2.1289 10.0331
K Ga H
2 1 1
Cartesian
0.0000 0.0000 3.3011
0.0000 0.0000 26.7983
0.0000 0.0000 0.0000
0.0000 0.0000 15.0497
```

Summary:
For the excess energy over the best structure of this formula in the dataset, the calculation gives 0 meV per atom.


Number 1: magnetization 1.6 μB per formula unit, Fermi-level density of states 1.67 states/eV per atom. Number 2: magnetization 1.0 μB per formula unit, Fermi-level density of states 0.66 states/eV per atom. Number 3: magnetization 0.0 μB per formula unit, Fermi-level density of states 0.60 states/eV per atom. Number 4: magnetization 0.9 μB per formula unit, Fermi-level density of states 0.27 states/eV per atom. Number 5: magnetization 1.0 μB per formula unit, Fermi-level density of states 0.27 states/eV per atom. Number 6: magnetization 0.0 μB per formula unit, Fermi-level density of states 0.58 states/eV per atom. Number 7: magnetization 0.0 μB per formula unit, Fermi-level density of states 0.13 states/eV per atom. Number 8: magnetization 0.0 μB per formula unit, Fermi-level density of states 0.29 states/eV per atom.